A relaxed Tm5AlTe4 crystal, computed with PBE.

For the uncorrected formation energy, the calculation gives -1.045 eV per atom. The magnetization comes out at 0.00 Bohr magnetons per cell. The calculation puts the theoretical density at 8.15 g cm⁻³.

It has space group I4 (No. 79), with a = 9.642 Å, b = 9.642 Å, c = 6.057 Å, α = 90.00°, β = 90.00° and γ = 90.00°. The asymmetric unit holds Tm at (0.000, 0.000, 0.000), Tm at (0.096, 0.720, 0.498), Al at (0.000, 0.000, 0.500) and Te at (0.092, 0.695, 0.998).